(1)
4
Lattice="-1.015 -3.911 -2.505 -0.358 -4.202 2.194 -4.247 -2.085 0.465" Properties=species:S:1:pos:R:3 comment="MgZnAs2 | Alexandria | GGA-PBE | relaxed" crystal_system=cubic de_polymorph_mev_per_atom=242 sg=F-43m pbc="T T T"
Mg -2.810 -5.099 0.077
As -1.405 -2.550 0.039
As 0.000 0.000 0.000
Zn -4.215 -7.649 0.116



(2)
4
Lattice="-3.183 3.129 -0.193 -2.747 -2.917 -1.975 -2.512 -2.144 6.661" Properties=species:S:1:pos:R:3 comment="KSrW2 | Alexandria | GGA-PBE | relaxed" crystal_system=tetragonal de_polymorph_mev_per_atom=927 sg=P4/mmm pbc="T T T"
K -3.593 -0.430 0.581
Sr -4.849 -1.502 3.912
W -1.520 -1.297 4.030
W -2.248 -1.919 5.962



(3)
5
Lattice="-2.269 -5.309 0.521 4.938 -2.305 -1.980 2.020 -0.332 5.424" Properties=species:S:1:pos:R:3 comment="Tl3CrCl | Alexandria | GGA-PBE | relaxed" crystal_system=cubic de_polymorph_mev_per_atom=289 sg=Pm-3m pbc="T T T"
Tl 2.469 -1.152 -0.990
Tl 1.010 -0.166 2.712
Tl -1.135 -2.655 0.260
Cr 2.344 -3.973 1.982
Cl 0.000 0.000 0.000



- Which formula does entry 3 have?
  Tl3CrCl